[1]
TlBi2Br after structural relaxation. Source: Alexandria, functional GGA-PBE.

abc: 5.4953 5.4953 5.4953
angles: 60.00 60.00 60.00
Positions (direct):
Br 0.0000 0.0000 0.0000
Bi 0.7500 0.7500 0.7500
Tl 0.5000 0.5000 0.5000
Bi 0.2500 0.2500 0.2500

Properties
Energy relative to the lowest polymorph listed for this composition: 0.99 eV per formula unit
Density of states at the Fermi level: 2.048 states/eV per cell
Calculated total energy: -2.89 eV/atom
Raw formation energy: 0.06 eV per atom
Volume: 117.34 Å³ per cell

[2]
SiP2C after structural relaxation. Source: Alexandria, functional GGA-PBE.

abc: 5.3324 5.3324 5.2927
angles: 59.75 59.75 90.00
Positions (direct):
P 0.3750 0.4371 0.7500
C 0.5000 0.5000 0.0000
P 0.1871 0.6250 0.2500
Si 0.7500 0.2500 0.5000
P 0.5629 0.1250 0.2500
P 0.8750 0.8129 0.7500
C 0.2500 0.7500 0.5000
Si 0.0000 0.0000 0.0000

Properties
Energy relative to the lowest polymorph listed for this composition: 1.46 eV per formula unit
Density of states at the Fermi level: 1.605 states/eV per cell
Calculated total energy: -5.81 eV/atom
Raw formation energy: 0.56 eV per atom
Volume: 105.61 Å³ per cell

[3]
CdInSbRu2 after structural relaxation. Source: Alexandria, functional GGA-PBE.

abc: 4.9489 4.9954 4.9489
angles: 90.00 90.00 90.00
Site moments in Bohr magnetons follow the coordinates.
Positions (direct):
Ru 0.0000 0.0000 0.5000  0.67
Cd 0.0000 0.5000 0.0000  0.00
Sb 0.5000 0.5000 0.5000  -0.03
In 0.0000 0.0000 0.0000  -0.01
Ru 0.5000 0.0000 0.0000  0.54

Properties
Density of states at the Fermi level: 7.349 states/eV per cell
Calculated total energy: -3.84 eV/atom
Raw formation energy: 1.43 eV per atom
Volume: 122.35 Å³ per cell

[4]
KSmRu2O8 after structural relaxation. Source: Alexandria, functional GGA-PBE.

abc: 6.0109 6.0109 7.7334
angles: 90.00 90.00 120.00
Site moments in Bohr magnetons follow the coordinates.
Positions (direct):
O 0.6667 0.3333 0.0021  0.22
O 0.8230 0.1638 0.3084  0.16
O 0.1638 0.3408 0.6916  0.16
Ru 0.6667 0.3333 0.2282  1.05
Sm 0.0000 0.0000 0.5000  0.05
O 0.8362 0.6592 0.3084  0.16
O 0.1770 0.8362 0.6916  0.16
Ru 0.3333 0.6667 0.7718  1.05
O 0.3333 0.6667 0.9979  0.22
O 0.6592 0.8230 0.6916  0.16
O 0.3408 0.1770 0.3084  0.16
K 0.0000 0.0000 0.0000  0.00

Properties
Density of states at the Fermi level: 1.627 states/eV per cell
Calculated total energy: -6.80 eV/atom
Raw formation energy: -1.46 eV per atom
Volume: 241.98 Å³ per cell

[5]
Ta3Br after structural relaxation. Source: Alexandria, functional GGA-PBE.

abc: 5.2547 5.2547 5.2547
angles: 90.00 90.00 90.00
Positions (direct):
Ta 0.7500 0.5000 0.0000
Ta 0.0000 0.2500 0.5000
Br 0.5000 0.5000 0.5000
Ta 0.0000 0.7500 0.5000
Br 0.0000 0.0000 0.0000
Ta 0.5000 0.0000 0.2500
Ta 0.2500 0.5000 0.0000
Ta 0.5000 0.0000 0.7500

Properties
Energy relative to the lowest polymorph listed for this composition: 1.22 eV per formula unit
Density of states at the Fermi level: 4.725 states/eV per cell
Calculated total energy: -8.65 eV/atom
Raw formation energy: 0.66 eV per atom
Volume: 145.09 Å³ per cell

[6]
Co2CuRu2 after structural relaxation. Source: Alexandria, functional GGA-PBE.

abc: 7.1288 7.1288 2.6141
angles: 90.00 90.00 90.00
Site moments in Bohr magnetons follow the coordinates.
Positions (direct):
Co 0.3332 0.1668 0.5000  0.97
Cu 0.5000 0.5000 0.0000  0.03
Ru 0.3712 0.8712 0.0000  0.30
Ru 0.1288 0.3712 0.0000  0.29
Co 0.1668 0.6668 0.5000  0.95
Ru 0.8712 0.6288 0.0000  0.29
Ru 0.6288 0.1288 0.0000  0.30
Co 0.8332 0.3332 0.5000  0.95
Cu 0.0000 0.0000 0.0000  0.03
Co 0.6668 0.8332 0.5000  0.97

Properties
Energy relative to the lowest polymorph listed for this composition: 0.36 eV per formula unit
Density of states at the Fermi level: 18.856 states/eV per cell
Calculated total energy: -6.95 eV/atom
Energy of formation: 0.427 eV/atom
Volume: 132.85 Å³ per cell

density of states at the Fermi level of number 5 (Ta3Br)?
4.725 states/eV per cell